# YThC3

A relaxed structure of YThC3 (PBE-GGA, the Alexandria database).

a = 7.2999 Å, b = 7.2999 Å, c = 7.2999 Å
α = 109.47°, β = 109.47°, γ = 109.47°
Sites, in units of the cell vectors:
1 Y 0.0000 0.0964 0.5000
2 Y 0.0964 0.5000 0.0000
3 Y 0.4036 0.4036 0.4036
4 Y 0.5000 0.0000 0.0964
5 Th 0.0000 0.5954 0.5000
6 Th 0.5000 0.0000 0.5954
7 Th 0.5954 0.5000 0.0000
8 Th 0.9046 0.9046 0.9046
9 C 0.0498 0.7998 0.2500
10 C 0.2134 0.9634 0.2500
11 C 0.2500 0.0498 0.7998
12 C 0.2500 0.2134 0.9634
13 C 0.2866 0.5366 0.7500
14 C 0.4502 0.7002 0.7500
15 C 0.5366 0.7500 0.2866
16 C 0.7002 0.7500 0.4502
17 C 0.7500 0.2866 0.5366
18 C 0.7500 0.4502 0.7002
19 C 0.7998 0.2500 0.0498
20 C 0.9634 0.2500 0.2134

Values from the calculation:
* ρ: 7.9 g cm⁻³
* DFT formation energy: -233 meV per atom
* calculated volume: 299.5 Å³ per cell



# Sm4Er3Sc

A relaxed structure of Sm4Er3Sc (PBE-GGA, the Alexandria database).

a = 11.2886 Å, b = 7.2182 Å, c = 6.2222 Å
α = 90.00°, β = 90.00°, γ = 90.00°
Sites, in units of the cell vectors:
1 Sm 0.0000 0.1287 0.0000
2 Sm 0.0000 0.8700 0.5139
3 Sm 0.2441 0.1302 0.3457
4 Sm 0.2559 0.8698 0.8457
5 Sm 0.5000 0.1300 0.0139
6 Sm 0.5000 0.8713 0.5000
7 Sm 0.7441 0.8698 0.8457
8 Sm 0.7559 0.1302 0.3457
9 Er 0.0000 0.6210 0.0089
10 Er 0.2495 0.6196 0.3391
11 Er 0.2505 0.3804 0.8391
12 Er 0.5000 0.3790 0.5089
13 Er 0.7495 0.3804 0.8391
14 Er 0.7505 0.6196 0.3391
15 Sc 0.0000 0.3821 0.5068
16 Sc 0.5000 0.6179 0.0068

Values from the calculation:
* ΔE to the lowest computed polymorph: 0 meV/atom
* ρ: 7.5 g cm⁻³
* DFT formation energy: 32 meV per atom
* calculated volume: 507.0 Å³ per cell



# TmNpF6

A relaxed structure of TmNpF6 (PBE-GGA, the Alexandria database).

a = 5.3889 Å, b = 5.3889 Å, c = 7.9571 Å
α = 90.00°, β = 90.00°, γ = 90.00°
Sites, in units of the cell vectors:
1 Tm 0.0000 0.0000 0.2500
2 Tm 0.0000 0.0000 0.7500
3 Np 0.5000 0.5000 0.0000
4 Np 0.5000 0.5000 0.5000
5 F 0.1533 0.8085 0.0000
6 F 0.1915 0.1533 0.5000
7 F 0.2349 0.6906 0.3156
8 F 0.2349 0.6906 0.6844
9 F 0.3094 0.2349 0.1844
10 F 0.3094 0.2349 0.8156
11 F 0.6906 0.7651 0.1844
12 F 0.6906 0.7651 0.8156
13 F 0.7651 0.3094 0.3156
14 F 0.7651 0.3094 0.6844
15 F 0.8085 0.8466 0.5000
16 F 0.8466 0.1915 0.0000

Values from the calculation:
* ΔE to the lowest computed polymorph: 12 meV/atom
* ρ: 7.5 g cm⁻³
* uncorrected formation energy: -3.76 eV per atom
* calculated volume: 231.1 Å³ per cell



# Rb12Ag5Hg3

A relaxed structure of Rb12Ag5Hg3 (PBE-GGA, the Alexandria database).

a = 18.5938 Å, b = 18.5938 Å, c = 18.5938 Å
α = 109.47°, β = 109.47°, γ = 109.47°
Sites, in units of the cell vectors:
1 Rb 0.0466 0.2198 0.1272
2 Rb 0.0466 0.3268 0.9194
3 Rb 0.0806 0.6272 0.4074
4 Rb 0.0806 0.9534 0.6732
5 Rb 0.0926 0.7198 0.6732
6 Rb 0.0926 0.8728 0.4194
7 Rb 0.1272 0.0466 0.2198
8 Rb 0.1272 0.5806 0.9074
9 Rb 0.1732 0.2198 0.5926
10 Rb 0.1732 0.4534 0.5806
11 Rb 0.2198 0.1272 0.0466
12 Rb 0.2198 0.5926 0.1732
13 Rb 0.2802 0.3268 0.9074
14 Rb 0.2802 0.4534 0.3728
15 Rb 0.3268 0.9074 0.2802
16 Rb 0.3268 0.9194 0.0466
17 Rb 0.3728 0.2802 0.4534
18 Rb 0.3728 0.5926 0.9194
19 Rb 0.4074 0.0806 0.6272
20 Rb 0.4074 0.8268 0.7802
21 Rb 0.4194 0.0926 0.8728
22 Rb 0.4194 0.8268 0.5466
23 Rb 0.4534 0.3728 0.2802
24 Rb 0.4534 0.5806 0.1732
25 Rb 0.5466 0.4194 0.8268
26 Rb 0.5466 0.6272 0.7198
27 Rb 0.5806 0.1732 0.4534
28 Rb 0.5806 0.9074 0.1272
29 Rb 0.5926 0.1732 0.2198
30 Rb 0.5926 0.9194 0.3728
31 Rb 0.6272 0.4074 0.0806
32 Rb 0.6272 0.7198 0.5466
33 Rb 0.6732 0.0806 0.9534
34 Rb 0.6732 0.0926 0.7198
35 Rb 0.7198 0.5466 0.6272
36 Rb 0.7198 0.6732 0.0926
37 Rb 0.7802 0.4074 0.8268
38 Rb 0.7802 0.8728 0.9534
39 Rb 0.8268 0.5466 0.4194
40 Rb 0.8268 0.7802 0.4074
41 Rb 0.8728 0.4194 0.0926
42 Rb 0.8728 0.9534 0.7802
43 Rb 0.9074 0.1272 0.5806
44 Rb 0.9074 0.2802 0.3268
45 Rb 0.9194 0.0466 0.3268
46 Rb 0.9194 0.3728 0.5926
47 Rb 0.9534 0.6732 0.0806
48 Rb 0.9534 0.7802 0.8728
49 Ag 0.0000 0.0000 0.0000
50 Ag 0.0000 0.0000 0.5000
51 Ag 0.0000 0.5000 0.0000
52 Ag 0.0000 0.5000 0.5000
53 Ag 0.1250 0.7500 0.8750
54 Ag 0.1250 0.8750 0.2500
55 Ag 0.2500 0.1250 0.8750
56 Ag 0.2500 0.6250 0.3750
57 Ag 0.3750 0.2500 0.6250
58 Ag 0.3750 0.6250 0.7500
59 Ag 0.5000 0.0000 0.0000
60 Ag 0.5000 0.0000 0.5000
61 Ag 0.5000 0.5000 0.0000
62 Ag 0.5000 0.5000 0.5000
63 Ag 0.6250 0.3750 0.2500
64 Ag 0.6250 0.7500 0.3750
65 Ag 0.7500 0.3750 0.6250
66 Ag 0.7500 0.8750 0.1250
67 Ag 0.8750 0.1250 0.7500
68 Ag 0.8750 0.2500 0.1250
69 Hg 0.1250 0.2500 0.3750
70 Hg 0.1250 0.3750 0.7500
71 Hg 0.2500 0.3750 0.1250
72 Hg 0.2500 0.8750 0.6250
73 Hg 0.3750 0.1250 0.2500
74 Hg 0.3750 0.7500 0.1250
75 Hg 0.6250 0.2500 0.8750
76 Hg 0.6250 0.8750 0.7500
77 Hg 0.7500 0.1250 0.3750
78 Hg 0.7500 0.6250 0.8750
79 Hg 0.8750 0.6250 0.2500
80 Hg 0.8750 0.7500 0.6250

Values from the calculation:
* ρ: 2.9 g cm⁻³
* DFT formation energy: 93 meV per atom
* calculated volume: 4948.6 Å³ per cell



# Ta12RuW6

A relaxed structure of Ta12RuW6 (PBE-GGA, the Alexandria database).

a = 7.4699 Å, b = 7.4699 Å, c = 7.4699 Å
α = 106.70°, β = 106.70°, γ = 106.70°
Sites, in units of the cell vectors:
1 Ta 0.0014 0.6787 0.1340
2 Ta 0.0894 0.3804 0.2955
3 Ta 0.1340 0.0014 0.6787
4 Ta 0.2955 0.0894 0.3804
5 Ta 0.3213 0.8660 0.9986
6 Ta 0.3804 0.2955 0.0894
7 Ta 0.6196 0.7045 0.9106
8 Ta 0.6787 0.1340 0.0014
9 Ta 0.7045 0.9106 0.6196
10 Ta 0.8660 0.9986 0.3213
11 Ta 0.9106 0.6196 0.7045
12 Ta 0.9986 0.3213 0.8660
13 Ru 0.0000 0.0000 0.0000
14 W 0.2412 0.3955 0.6744
15 W 0.3256 0.7588 0.6045
16 W 0.3955 0.6744 0.2412
17 W 0.6045 0.3256 0.7588
18 W 0.6744 0.2412 0.3955
19 W 0.7588 0.6045 0.3256

Values from the calculation:
* ρ: 16.0 g cm⁻³
* DFT formation energy: 360 meV per atom
* calculated volume: 349.9 Å³ per cell



# Ca2Cu6P5

A relaxed structure of Ca2Cu6P5 (PBE-GGA, the Alexandria database).

a = 12.6626 Å, b = 12.6626 Å, c = 12.6626 Å
α = 161.76°, β = 161.76°, γ = 25.90°
Sites, in units of the cell vectors:
1 Ca 0.1491 0.1491 0.0000
2 Ca 0.8509 0.8509 0.0000
3 Cu 0.0538 0.5538 0.5000
4 Cu 0.2500 0.7500 0.5000
5 Cu 0.4462 0.9462 0.5000
6 Cu 0.5538 0.0538 0.5000
7 Cu 0.7500 0.2500 0.5000
8 Cu 0.9462 0.4462 0.5000
9 P 0.0000 0.0000 0.0000
10 P 0.3025 0.3025 0.0000
11 P 0.3943 0.3943 0.0000
12 P 0.6057 0.6057 0.0000
13 P 0.6975 0.6975 0.0000

Values from the calculation:
* ρ: 5.1 g cm⁻³
* DFT formation energy: -466 meV per atom
* calculated volume: 198.8 Å³ per cell



# La7Pr3Sm2

A relaxed structure of La7Pr3Sm2 (PBE-GGA, the Alexandria database).

a = 6.6304 Å, b = 3.6313 Å, c = 18.1427 Å
α = 90.00°, β = 95.90°, γ = 90.00°
Sites, in units of the cell vectors:
1 La 0.0000 0.0000 0.0000
2 La 0.2207 0.5000 0.1703
3 La 0.2602 0.5000 0.4916
4 La 0.2732 0.0000 0.8324
5 La 0.7268 0.0000 0.1676
6 La 0.7398 0.5000 0.5084
7 La 0.7793 0.5000 0.8297
8 Pr 0.4532 0.0000 0.3362
9 Pr 0.5000 0.5000 0.0000
10 Pr 0.5468 0.0000 0.6638
11 Sm 0.0594 0.5000 0.6688
12 Sm 0.9406 0.5000 0.3312

Values from the calculation:
* ΔE to the lowest computed polymorph: 0 meV/atom
* ρ: 6.5 g cm⁻³
* DFT formation energy: 60 meV per atom
* calculated volume: 434.5 Å³ per cell



# PuThPdAu

A relaxed structure of PuThPdAu (PBE-GGA, the Alexandria database).

a = 6.9793 Å, b = 6.9793 Å, c = 6.9793 Å
α = 90.00°, β = 90.00°, γ = 90.00°
Sites, in units of the cell vectors:
1 Pu 0.0000 0.0000 0.0000
2 Pu 0.0000 0.5000 0.5000
3 Pu 0.5000 0.0000 0.5000
4 Pu 0.5000 0.5000 0.0000
5 Th 0.2500 0.2500 0.7500
6 Th 0.2500 0.7500 0.2500
7 Th 0.7500 0.2500 0.2500
8 Th 0.7500 0.7500 0.7500
9 Pd 0.0000 0.0000 0.5000
10 Pd 0.0000 0.5000 0.0000
11 Pd 0.5000 0.0000 0.0000
12 Pd 0.5000 0.5000 0.5000
13 Au 0.2500 0.2500 0.2500
14 Au 0.2500 0.7500 0.7500
15 Au 0.7500 0.2500 0.7500
16 Au 0.7500 0.7500 0.2500

Values from the calculation:
* ΔE to the lowest computed polymorph: 0 meV/atom
* ρ: 15.2 g cm⁻³
* DFT formation energy: -547 meV per atom
* calculated volume: 340.0 Å³ per cell



# NaZnPtF6

A relaxed structure of NaZnPtF6 (PBE-GGA, the Alexandria database).

a = 5.5181 Å, b = 5.5181 Å, c = 9.6666 Å
α = 90.00°, β = 90.00°, γ = 120.00°
Sites, in units of the cell vectors:
1 Na 0.0000 0.0000 0.0000
2 Na 0.0000 0.0000 0.5000
3 Zn 0.3333 0.6667 0.2500
4 Zn 0.6667 0.3333 0.7500
5 Pt 0.3333 0.6667 0.7500
6 Pt 0.6667 0.3333 0.2500
7 F 0.0028 0.3549 0.1386
8 F 0.0028 0.6479 0.3614
9 F 0.3521 0.3549 0.3614
10 F 0.3521 0.9972 0.1386
11 F 0.3549 0.0028 0.6386
12 F 0.3549 0.3521 0.8614
13 F 0.6451 0.6479 0.1386
14 F 0.6451 0.9972 0.3614
15 F 0.6479 0.0028 0.8614
16 F 0.6479 0.6451 0.6386
17 F 0.9972 0.3521 0.6386
18 F 0.9972 0.6451 0.8614

Values from the calculation:
* ρ: 5.2 g cm⁻³
* uncorrected formation energy: -1.87 eV per atom
* calculated volume: 254.9 Å³ per cell



# Cd3Au2

A relaxed structure of Cd3Au2 (PBE-GGA, the Alexandria database).

a = 7.9727 Å, b = 7.9727 Å, c = 7.9727 Å
α = 43.74°, β = 43.74°, γ = 43.74°
Sites, in units of the cell vectors:
1 Cd 0.1844 0.7500 0.3156
2 Cd 0.2500 0.6844 0.8156
3 Cd 0.3156 0.1844 0.7500
4 Cd 0.6844 0.8156 0.2500
5 Cd 0.7500 0.3156 0.1844
6 Cd 0.8156 0.2500 0.6844
7 Au 0.1854 0.1854 0.1854
8 Au 0.3146 0.3146 0.3146
9 Au 0.6854 0.6854 0.6854
10 Au 0.8146 0.8146 0.8146

Values from the calculation:
* ΔE to the lowest computed polymorph: 111 meV/atom
* ρ: 11.0 g cm⁻³
* DFT formation energy: -72 meV per atom
* calculated volume: 219.9 Å³ per cell



# Ba2Sn3HgAu4

A relaxed structure of Ba2Sn3HgAu4 (PBE-GGA, the Alexandria database).

a = 4.9774 Å, b = 4.9774 Å, c = 10.9637 Å
α = 90.00°, β = 90.00°, γ = 90.00°
Sites, in units of the cell vectors:
1 Ba 0.0000 0.5000 0.2458
2 Ba 0.5000 0.0000 0.7542
3 Sn 0.0000 0.5000 0.8784
4 Sn 0.5000 0.0000 0.1216
5 Sn 0.5000 0.5000 0.5000
6 Hg 0.0000 0.0000 0.5000
7 Au 0.0000 0.0000 0.0000
8 Au 0.0000 0.5000 0.6293
9 Au 0.5000 0.0000 0.3707
10 Au 0.5000 0.5000 0.0000

Values from the calculation:
* ρ: 9.9 g cm⁻³
* DFT formation energy: -561 meV per atom
* calculated volume: 271.6 Å³ per cell



# LiAs2H2

A relaxed structure of LiAs2H2 (PBE-GGA, the Alexandria database).

a = 3.6935 Å, b = 3.6935 Å, c = 9.3779 Å
α = 90.00°, β = 90.00°, γ = 90.00°
Sites, in units of the cell vectors:
1 Li 0.0000 0.0000 0.0000
2 Li 0.5000 0.5000 0.5000
3 As 0.0000 0.0000 0.3722
4 As 0.0000 0.0000 0.6278
5 As 0.5000 0.5000 0.1278
6 As 0.5000 0.5000 0.8722
7 H 0.0000 0.5000 0.2500
8 H 0.0000 0.5000 0.7500
9 H 0.5000 0.0000 0.2500
10 H 0.5000 0.0000 0.7500

Values from the calculation:
* DFT total energy: -3.236 eV per atom
* ρ: 4.1 g cm⁻³
* calculated volume: 127.9 Å³ per cell